The following is a DFT calculation (PBE+U) of crystalline NaInNiF6 at its relaxed geometry.

a = 5.4832 Å, b = 5.4832 Å, c = 9.7066 Å
α = 90.00°, β = 90.00°, γ = 120.00°
Site moments in Bohr magnetons follow the coordinates.
Sites, in units of the cell vectors:
1 F 0.3522 0.3633 0.8626  0.02
2 F 0.9889 0.6367 0.3626  0.02
3 F 0.6367 0.9889 0.8626  0.02
4 Ni 0.3333 0.6667 0.7500  1.80
5 In 0.3333 0.6667 0.2500  0.00
6 F 0.9889 0.3522 0.1374  0.02
7 Ni 0.6667 0.3333 0.2500  1.80
8 F 0.0111 0.6478 0.8626  0.02
9 F 0.3522 0.9889 0.6374  0.02
10 Na 0.0000 0.0000 0.5000  0.00
11 F 0.3633 0.3522 0.3626  0.02
12 F 0.6478 0.0111 0.3626  0.02
13 F 0.6367 0.6478 0.6374  0.02
14 Na 0.0000 0.0000 0.0000  0.00
15 F 0.6478 0.6367 0.1374  0.02
16 In 0.6667 0.3333 0.7500  0.00
17 F 0.0111 0.3633 0.6374  0.02
18 F 0.3633 0.0111 0.1374  0.02

Uncorrected energy (eV per atom): -4.46
M_tot (Bohr magnetons per cell): 3.8
Space group: P-31c